VASP calculation (PBEsol) on a relaxed CdInOs2 crystal.

```
4
Lattice="-1.635 0.712 2.347 -3.977 -1.230 -2.398 3.195 -4.102 1.618" Properties=species:S:1:pos:R:3 pbc="T T T"
Os 0.198 -2.224 0.812
Os -2.616 -2.396 0.755
In -1.989 -0.615 -1.199
Cd -0.818 0.356 1.174
```

DFT formation energy = 0.72 eV per atom
Total moment = 0.00 μB per formula unit